(1)
The following is a GGA-PBE calculation of a relaxed structure of HfTh2V, from Alexandria.

abc: 3.2901 3.2901 33.3097
angles: 90.00 90.00 120.00
Space group R-3m (No. 166, hexagonal axes)
Symmetry-distinct sites (fractional):
Hf 0.0000 0.0000 0.0000 x3
Th 0.0000 0.0000 0.4181 x6
V 0.0000 0.0000 0.5000 x3

Properties
**Calculated formation energy**: 63.0 kJ per mole of atoms
**Density of states at the Fermi level**: 7.26 states/eV/f.u.



(2)
The following is a GGA-PBE calculation of a relaxed structure of HfThV4, from Alexandria.

abc: 7.4698 7.4698 7.4698
angles: 90.00 90.00 90.00
Space group F-43m (No. 216)
Symmetry-distinct sites (fractional):
Hf 0.0000 0.0000 0.0000 x4
Th 0.2500 0.2500 0.2500 x4
V 0.1252 0.1252 0.6252 x16

Properties
**Calculated formation energy**: 7.3 kJ per mole of atoms
**Density of states at the Fermi level**: 6.33 states/eV/f.u.



(3)
The following is a GGA-PBE calculation of a relaxed structure of Hf3ThV8, from Alexandria.

abc: 5.2582 5.2582 8.4312
angles: 90.00 90.00 120.00
Space group P3m1 (No. 156)
Symmetry-distinct sites (fractional):
Hf 0.0000 0.0000 0.0000 x1
Hf 0.0000 0.0000 0.3710 x1
Hf 0.3333 0.6667 0.8821 x1
Th 0.3333 0.6667 0.5024 x1
V 0.0012 0.5006 0.1819 x3
V 0.3283 0.1642 0.6945 x3
V 0.6667 0.3333 0.4354 x1
V 0.6667 0.3333 0.9386 x1

Properties
**Calculated formation energy**: 2.6 kJ per mole of atoms
**Density of states at the Fermi level**: 12.47 states/eV/f.u.



(4)
The following is a GGA-PBE calculation of a relaxed structure of HfThW4, from Alexandria.

abc: 7.8146 7.8146 7.8146
angles: 90.00 90.00 90.00
Space group F-43m (No. 216)
Symmetry-distinct sites (fractional):
Hf 0.0000 0.0000 0.0000 x4
Th 0.2500 0.2500 0.2500 x4
W 0.1251 0.1251 0.6251 x16

Properties
**Calculated formation energy**: 6.7 kJ per mole of atoms
**Density of states at the Fermi level**: 3.18 states/eV/f.u.



(5)
The following is a GGA-PBE calculation of a relaxed structure of YHfTh2, from Alexandria.

abc: 3.3765 3.3765 36.3854
angles: 90.00 90.00 120.00
Space group R-3m (No. 166, hexagonal axes)
Symmetry-distinct sites (fractional):
Y 0.0000 0.0000 0.0000 x3
Hf 0.0000 0.0000 0.5000 x3
Th 0.0000 0.0000 0.0903 x6

Properties
**Calculated formation energy**: 27.4 kJ per mole of atoms
**Distance to the lowest polymorph of the same formula**: 170 meV per atom
**Density of states at the Fermi level**: 6.47 states/eV/f.u.



(6)
The following is a GGA-PBE calculation of a relaxed structure of YHfTh2, from Alexandria.

abc: 7.7564 7.7564 7.7564
angles: 90.00 90.00 90.00
Space group Fm-3m (No. 225)
Symmetry-distinct sites (fractional):
Y 0.0000 0.0000 0.0000 x4
Hf 0.0000 0.0000 0.5000 x4
Th 0.2500 0.2500 0.2500 x8

Properties
**Calculated formation energy**: 17.6 kJ per mole of atoms
**Distance to the lowest polymorph of the same formula**: 69 meV per atom
**Density of states at the Fermi level**: 5.85 states/eV/f.u.



(7)
The following is a GGA-PBE calculation of a relaxed structure of YHfTh2, from Alexandria.

abc: 3.4730 3.4730 33.8492
angles: 90.00 90.00 120.00
Space group R3m (No. 160, hexagonal axes)
Symmetry-distinct sites (fractional):
Y 0.0000 0.0000 0.0000 x3
Hf 0.0000 0.0000 0.8299 x3
Th 0.0000 0.0000 0.2441 x3
Th 0.0000 0.0000 0.4186 x3

Properties
**Calculated formation energy**: 14.3 kJ per mole of atoms
**Distance to the lowest polymorph of the same formula**: 34 meV per atom
**Density of states at the Fermi level**: 6.52 states/eV/f.u.



(8)
The following is a GGA-PBE calculation of a relaxed structure of YHfTh2, from Alexandria.

abc: 3.4795 3.4795 9.8367
angles: 90.00 90.00 90.00
Space group P4/mmm (No. 123)
Symmetry-distinct sites (fractional):
Y 0.0000 0.0000 0.0000 x1
Hf 0.0000 0.0000 0.5000 x1
Th 0.5000 0.5000 0.2675 x2

Properties
**Calculated formation energy**: 11.0 kJ per mole of atoms
**Distance to the lowest polymorph of the same formula**: 0 meV per atom
**Density of states at the Fermi level**: 6.10 states/eV/f.u.